Entry from Alexandria via LeMat-Bulk: BeB12C2 after structural relaxation (PBE).

Properties
DFT total energy ... -6.856 eV per atom
Fermi-level density of states ... 3.86 states/eV/cell

The structure in POSCAR format:
```
BeB12C2
1.0
4.4271 -2.8027 -0.0025
4.4271 2.8027 -0.0025
2.6553 0.0000 4.5171
Be B C
1 12 2
Cartesian
5.7548 0.0000 2.2561
4.3998 1.3525 0.8861
3.5448 0.0000 3.0671
4.3998 -1.3525 0.8861
7.1098 -1.3525 3.6260
7.9649 0.0000 1.4450
7.1098 1.3525 3.6260
1.4932 0.9215 0.0139
0.9106 0.0000 1.4999
1.4932 -0.9215 0.0139
10.0164 -0.9215 4.4983
10.5990 0.0000 3.0122
10.0164 0.9215 4.4983
7.3093 0.0000 2.8655
4.2004 0.0000 1.6467
```



Entry from Alexandria via LeMat-Bulk: BeBC after structural relaxation (PBE).

Properties
Polymorph energy (0 for the lowest one) ... 0.043 eV per atom
DFT total energy ... -6.499 eV per atom
Fermi-level density of states ... 1.32 states/eV/cell

The structure in POSCAR format:
```
BeBC
1.0
6.8562 0.0000 0.0151
0.0000 2.7288 0.0000
-1.1071 0.0000 4.5865
Be C B
4 4 4
Cartesian
-0.1454 0.0000 2.3251
0.4081 1.3644 0.0318
3.1478 0.0000 1.4936
2.5942 1.3644 3.7869
4.9518 0.0000 1.9332
4.3982 1.3644 4.2264
1.3676 0.0000 1.0654
0.8141 1.3644 3.3586
1.5686 0.0000 2.7298
2.1222 1.3644 0.4366
5.2874 0.0000 0.3951
4.7338 1.3644 2.6883
```